[1]
Compound: HfTe2N2
Source: Alexandria via LeMat-Bulk
Functional: GGA-PBEsol
Structure: relaxed

The structure in extended XYZ format:
```
5
Lattice="4.173 0.000 0.000 0.000 4.173 0.000 0.000 0.000 5.920" Properties=species:S:1:pos:R:3 pbc="T T T"
Hf 0.000 0.000 0.000
Te 0.000 0.000 2.960
Te 2.087 2.087 2.960
N 0.000 2.087 0.000
N 2.087 0.000 0.000
```

Calculated values
E (eV/atom): -6.561
Formation energy without anion corrections (kJ/mol of formula units): 174
SG: P4/mmm, No. 123


[2]
Compound: Hf2TeN2
Source: Alexandria via LeMat-Bulk
Functional: GGA-PBEsol
Structure: relaxed

The structure in extended XYZ format:
```
10
Lattice="3.742 0.000 0.000 0.000 3.742 0.000 0.000 0.000 11.837" Properties=species:S:1:pos:R:3 pbc="T T T"
Hf 0.000 0.000 2.011
Hf 0.000 0.000 9.826
Hf 1.871 1.871 3.907
Hf 1.871 1.871 7.929
Te 0.000 0.000 5.918
Te 1.871 1.871 0.000
N 0.000 1.871 2.959
N 0.000 1.871 8.878
N 1.871 0.000 2.959
N 1.871 0.000 8.878
```

Calculated values
E (eV/atom): -9.808
Formation energy without anion corrections (kJ/mol of formula units): -719
SG: I4/mmm, No. 139


[3]
Compound: HfTiTeN2
Source: Alexandria via LeMat-Bulk
Functional: GGA-PBEsol
Structure: relaxed

The structure in extended XYZ format:
```
5
Lattice="4.089 0.000 0.000 0.000 4.089 0.000 0.000 0.000 5.679" Properties=species:S:1:pos:R:3 pbc="T T T"
Hf 0.000 0.000 0.000
Ti 2.045 2.045 2.839
Te 0.000 0.000 2.839
N 0.000 2.045 0.000
N 2.045 0.000 0.000
```

Calculated values
Relative energy among the computed polymorphs (meV per atom): 55.6
E (eV/atom): -7.672
Formation energy without anion corrections (kJ/mol of formula units): 101
SG: P4/mmm, No. 123


[4]
Compound: HfTiTeN2
Source: Alexandria via LeMat-Bulk
Functional: GGA-PBEsol
Structure: relaxed

The structure in extended XYZ format:
```
5
Lattice="3.959 0.000 0.000 0.000 3.959 0.000 0.000 0.000 5.243" Properties=species:S:1:pos:R:3 pbc="T T T"
Hf 0.000 0.000 0.000
Ti 1.980 1.980 2.621
Te 1.980 1.980 0.000
N 0.000 1.980 2.621
N 1.980 0.000 2.621
```

Calculated values
Relative energy among the computed polymorphs (meV per atom): 0.0
E (eV/atom): -7.728
Formation energy without anion corrections (kJ/mol of formula units): 74
SG: P4/mmm, No. 123